Computed, not measured: crystalline HoGa3Fe3 at its relaxed geometry at the PBE-GGA level of DFT.

Unit cell a=6.486 b=6.486 c=6.486 alpha=90.00 beta=90.00 gamma=90.00
Atoms (fractional coordinates):
Ga  0.500  0.000  0.250
Fe  0.250  0.000  0.500
Ga  0.750  0.500  0.000
Fe  0.500  0.750  0.000
Fe  0.750  0.000  0.500
Fe  0.500  0.250  0.000
Fe  0.000  0.500  0.250
Ho  0.000  0.000  0.000
Fe  0.000  0.500  0.750
Ga  0.500  0.000  0.750
Ga  0.000  0.750  0.500
Ho  0.500  0.500  0.500
Ga  0.000  0.250  0.500
Ga  0.250  0.500  0.000

The value obtained for the size of the total moment is 4.9 μB per formula unit. The density of states at the Fermi level is 11.48 states/eV/f.u. As for the mass density: 6.59 Mg/m³. The calculation puts the formation enthalpy at 0 K at 0.455 eV/atom. Its space-group type is Pm-3n.